1.
# Cs4La3NpS8

A relaxed structure of Cs4La3NpS8 (GGA-PBE, Alexandria via LeMat-Bulk).

Calculated values
The formation energy without anion corrections is -1.742 eV per atom.

abc: 8.6233 9.4802 8.6236
angles: 117.06 120.00 90.00
Closest atoms and distances in Å follow each position.
Positions (direct):
S 0.2707 0.3122 0.5414  3 La 2.91
S 0.7359 0.6842 0.9601  1 Np 2.85, 2 La 2.92
S 0.2242 0.6842 0.9601  1 Np 2.85, 2 La 2.92
S 0.2242 0.6842 0.4484  1 Np 2.85, 2 La 2.92
S 0.2641 0.3158 0.0399  1 Np 2.85, 2 La 2.92
S 0.7758 0.3158 0.0399  1 Np 2.85, 2 La 2.92
S 0.7293 0.6878 0.4586  3 La 2.91
S 0.7758 0.3158 0.5516  1 Np 2.85, 2 La 2.92
La 0.5000 0.5000 0.5000  6 S 2.91-2.92
La 0.5000 0.5000 0.0000  6 S 2.91-2.92
La 0.0000 0.5000 0.5000  6 S 2.91-2.92
Cs 0.5000 0.0000 0.0000  6 S 3.60
Cs 0.0000 0.0000 0.0000  6 S 3.54
Cs 0.0000 0.0000 0.5000  6 S 3.54
Cs 0.5000 0.0000 0.5000  6 S 3.54
Np 0.0000 0.5000 0.0000  6 S 2.85


2.
# Cs2La2NpSe6

A relaxed structure of Cs2La2NpSe6 (GGA-PBE, Alexandria via LeMat-Bulk).

Calculated values
The formation energy without anion corrections is -1.617 eV per atom.

abc: 7.5715 7.5715 8.9113
angles: 98.41 98.41 119.61
Closest atoms and distances in Å follow each position.
Positions (direct):
Se 0.6209 0.9386 0.3170  1 Np 2.86, 2 La 3.02-3.04
Se 0.0614 0.3791 0.6830  1 Np 2.86, 2 La 3.02-3.04
Se 0.3791 0.0614 0.6830  1 Np 2.86, 2 La 3.02-3.04
Se 0.2511 0.2511 0.3170  1 Np 2.85, 2 La 3.03
Se 0.7489 0.7489 0.6830  1 Np 2.85, 2 La 3.03
Se 0.9386 0.6209 0.3170  1 Np 2.86, 2 La 3.02-3.04
La 0.6661 0.3339 0.5000  6 Se 3.02-3.04
La 0.3339 0.6661 0.5000  6 Se 3.02-3.04
Cs 0.1705 0.8295 0.0000  6 Se 3.67-3.74
Cs 0.8295 0.1705 0.0000  6 Se 3.67-3.74
Np 0.0000 0.0000 0.5000  6 Se 2.85-2.86


3.
# Cs4LaNp3Se8

A relaxed structure of Cs4LaNp3Se8 (GGA-PBE, Alexandria via LeMat-Bulk).

Calculated values
The formation energy without anion corrections is -1.367 eV per atom.

abc: 8.7597 9.7760 8.7593
angles: 116.62 120.00 90.00
Closest atoms and distances in Å follow each position.
Positions (direct):
Np 0.0000 0.5000 0.5000  6 Se 2.95
Np 0.5000 0.5000 0.5000  6 Se 2.95
Np 0.5000 0.5000 0.0000  6 Se 2.95
Se 0.7668 0.3122 0.0453  2 Np 2.95, 1 La 3.03
Se 0.2726 0.3179 0.5452  3 Np 2.95
Se 0.7668 0.3122 0.5336  2 Np 2.95, 1 La 3.03
Se 0.2785 0.3122 0.0453  2 Np 2.95, 1 La 3.03
Se 0.2332 0.6878 0.4664  2 Np 2.95, 1 La 3.03
Se 0.7215 0.6878 0.9547  2 Np 2.95, 1 La 3.03
Se 0.2332 0.6878 0.9547  2 Np 2.95, 1 La 3.03
Se 0.7274 0.6821 0.4548  3 Np 2.95
La 0.0000 0.5000 0.0000  6 Se 3.03
Cs 0.5000 0.0000 0.5000  6 Se 3.66-3.67
Cs 0.0000 0.0000 0.5000  6 Se 3.66-3.67
Cs 0.0000 0.0000 0.0000  6 Se 3.66-3.67
Cs 0.5000 0.0000 0.0000  6 Se 3.59


4.
# Cs3La2NpSe6

A relaxed structure of Cs3La2NpSe6 (GGA-PBE, Alexandria via LeMat-Bulk).

Calculated values
The formation energy without anion corrections is -1.607 eV per atom.

abc: 7.7223 7.7223 8.7614
angles: 98.43 98.43 119.99
Closest atoms and distances in Å follow each position.
Positions (direct):
Cs 0.8316 0.1684 0.5000  6 Se 3.65-3.69
Cs 0.5000 0.5000 0.5000  6 Se 3.64-3.69
Cs 0.1684 0.8316 0.5000  6 Se 3.65-3.69
Se 0.0633 0.3890 0.1887  1 Np 2.97, 2 La 3.04-3.06
Se 0.6110 0.9367 0.8113  1 Np 2.97, 2 La 3.04-3.06
Se 0.2627 0.2627 0.8099  1 Np 2.98, 2 La 3.04
Se 0.7373 0.7373 0.1901  1 Np 2.98, 2 La 3.04
Se 0.9367 0.6110 0.8113  1 Np 2.97, 2 La 3.04-3.06
Se 0.3890 0.0633 0.1887  1 Np 2.97, 2 La 3.04-3.06
La 0.3341 0.6659 0.0000  6 Se 3.04-3.06
La 0.6659 0.3341 0.0000  6 Se 3.04-3.06
Np 0.0000 0.0000 0.0000  6 Se 2.97-2.98


5.
# Cs2LaNpSe4

A relaxed structure of Cs2LaNpSe4 (GGA-PBE, Alexandria via LeMat-Bulk).

Calculated values
The formation energy without anion corrections is -1.507 eV per atom.

abc: 4.4292 7.6786 8.7527
angles: 107.02 90.00 90.00
Closest atoms and distances in Å follow each position.
Positions (direct):
Se 0.5000 0.2365 0.1903  1 Np 2.97, 2 La 3.03
Se 0.5000 0.7635 0.8097  1 Np 2.97, 2 La 3.03
Se 0.0000 0.7203 0.1857  2 Np 2.97, 1 La 3.05
Se 0.0000 0.2797 0.8143  2 Np 2.97, 1 La 3.05
Cs 0.0000 0.5000 0.5000  6 Se 3.62-3.63
Cs 0.5000 0.0000 0.5000  6 Se 3.68-3.69
Np 0.5000 0.5000 0.0000  6 Se 2.97
La 0.0000 0.0000 0.0000  6 Se 3.03-3.05


6.
# CsLa2NpSe5

A relaxed structure of CsLa2NpSe5 (GGA-PBE, Alexandria via LeMat-Bulk).

Calculated values
The formation energy without anion corrections is -1.617 eV per atom.

abc: 5.3289 7.7025 8.7643
angles: 116.07 107.70 90.00
Closest atoms and distances in Å follow each position.
Positions (direct):
La 0.2060 0.2060 0.4121  3 Se 2.94-3.05
La 0.7940 0.7940 0.5879  3 Se 2.94-3.05
Se 0.3473 0.6155 0.6947  1 Np 2.88, 1 La 2.94
Se 0.3473 0.0792 0.6947  1 Np 2.88, 1 La 2.94
Se 0.6527 0.9208 0.3053  1 Np 2.88, 1 La 2.94
Se 0.0000 0.0000 0.0000  2 Np 2.66
Se 0.6527 0.3845 0.3053  1 Np 2.88, 1 La 2.94
Np 0.5000 0.0000 0.0000  6 Se 2.66-2.88
Cs 0.0000 0.5000 0.0000  10 Se 3.85-4.06


7.
# Cs4La3NpSe8

A relaxed structure of Cs4La3NpSe8 (GGA-PBE, Alexandria via LeMat-Bulk).

Calculated values
The formation energy without anion corrections is -1.656 eV per atom.

abc: 8.9451 9.8386 8.9443
angles: 117.05 120.00 90.00
Closest atoms and distances in Å follow each position.
Positions (direct):
Np 0.0000 0.5000 0.0000  6 Se 2.98
Cs 0.0000 0.0000 0.5000  6 Se 3.65
Cs 0.5000 0.0000 0.5000  6 Se 3.65
Cs 0.0000 0.0000 0.0000  6 Se 3.65
Cs 0.5000 0.0000 0.0000  6 Se 3.71
Se 0.2636 0.3116 0.0375  1 Np 2.98, 2 La 3.05
Se 0.2261 0.6884 0.9625  1 Np 2.98, 2 La 3.05
Se 0.7739 0.3116 0.0375  1 Np 2.98, 2 La 3.05
Se 0.2262 0.6885 0.4523  1 Np 2.98, 2 La 3.05
Se 0.7306 0.6915 0.4612  3 La 3.04
Se 0.7738 0.3115 0.5477  1 Np 2.98, 2 La 3.05
Se 0.2694 0.3085 0.5388  3 La 3.04
Se 0.7364 0.6884 0.9625  1 Np 2.98, 2 La 3.05
La 0.0000 0.5000 0.5000  6 Se 3.04-3.05
La 0.5000 0.5000 0.5000  6 Se 3.04-3.05
La 0.5000 0.5000 0.0000  6 Se 3.04-3.05


8.
# Cs3La2NpTe6

A relaxed structure of Cs3La2NpTe6 (GGA-PBE, Alexandria via LeMat-Bulk).

Calculated values
The formation energy without anion corrections is -1.289 eV per atom.

abc: 8.2023 8.2023 9.3199
angles: 98.41 98.41 119.89
Closest atoms and distances in Å follow each position.
Positions (direct):
Cs 0.5000 0.5000 0.5000  6 Te 3.84-3.89
Cs 0.1684 0.8316 0.5000  6 Te 3.85-3.89
Cs 0.8316 0.1684 0.5000  6 Te 3.85-3.89
Te 0.6083 0.9347 0.8062  1 Np 3.19, 2 La 3.25-3.27
Te 0.2622 0.2622 0.8053  1 Np 3.20, 2 La 3.26
Te 0.3917 0.0653 0.1938  1 Np 3.19, 2 La 3.25-3.27
Te 0.0653 0.3917 0.1938  1 Np 3.19, 2 La 3.25-3.27
Te 0.9347 0.6083 0.8062  1 Np 3.19, 2 La 3.25-3.27
Te 0.7378 0.7378 0.1947  1 Np 3.20, 2 La 3.26
Np 0.0000 0.0000 0.0000  6 Te 3.19-3.20
La 0.6661 0.3339 0.0000  6 Te 3.25-3.27
La 0.3339 0.6661 0.0000  6 Te 3.25-3.27


9.
# CsLa2O

A relaxed structure of CsLa2O (GGA-PBE, Alexandria via LeMat-Bulk).

Calculated values
The formation energy without anion corrections is -1.071 eV per atom.

abc: 3.8327 3.8327 10.8740
angles: 79.85 79.85 60.00
Closest atoms and distances in Å follow each position.
Positions (direct):
La 0.1244 0.1244 0.6267  3 O 2.59
La 0.8756 0.8756 0.3733  3 O 2.59
O 0.5000 0.5000 0.5000  6 La 2.59
Cs 0.0000 0.0000 0.0000  6 Cs 3.83, 2 La 3.97


10.
# CsLaO3

A relaxed structure of CsLaO3 (GGA-PBE, Alexandria via LeMat-Bulk).

Calculated values
The formation energy without anion corrections is -1.803 eV per atom.

abc: 4.7199 4.7199 4.7199
angles: 90.00 90.00 90.00
Closest atoms and distances in Å follow each position.
Positions (direct):
O 0.5000 0.5000 0.0000  2 La 2.36
O 0.0000 0.5000 0.5000  2 La 2.36
O 0.5000 0.0000 0.5000  2 La 2.36
La 0.5000 0.5000 0.5000  6 O 2.36
Cs 0.0000 0.0000 0.0000  12 O 3.34


11.
# CsLa2O

A relaxed structure of CsLa2O (GGA-PBE, Alexandria via LeMat-Bulk).

Calculated values
The formation energy without anion corrections is -1.000 eV per atom.

abc: 7.8312 7.8312 7.7665
angles: 59.72 59.72 90.00
Closest atoms and distances in Å follow each position.
Positions (direct):
Cs 0.0000 0.0000 0.0000  8 La 4.30-4.54, 4 O 4.77, 4 Cs 4.77
Cs 0.7500 0.2500 0.5000  8 La 4.30-4.54, 4 O 4.77, 4 Cs 4.77
La 0.3325 0.6250 0.2500  2 O 2.41
La 0.4175 0.1250 0.2500  2 O 2.41
La 0.8750 0.6675 0.7500  2 O 2.41
La 0.3750 0.5825 0.7500  2 O 2.41
O 0.2500 0.7500 0.5000  4 La 2.41
O 0.5000 0.5000 0.0000  4 La 2.41


12.
# Cs2LaOs3O12

A relaxed structure of Cs2LaOs3O12 (GGA-PBE, Alexandria via LeMat-Bulk).

Calculated values
The formation energy without anion corrections is -1.502 eV per atom.

abc: 7.7220 7.7220 7.7220
angles: 57.15 57.15 57.15
Closest atoms and distances in Å follow each position.
Positions (direct):
Os 0.0000 0.0000 0.5000  6 O 1.88-1.93
Os 0.5000 0.0000 0.0000  6 O 1.88-1.93
Os 0.0000 0.5000 0.0000  6 O 1.88-1.93
O 0.9211 0.2980 0.2980  2 Os 1.93
O 0.0789 0.7020 0.7020  2 Os 1.93
O 0.7020 0.7020 0.0789  2 Os 1.93
O 0.9154 0.3789 0.9154  1 Os 1.88
O 0.6211 0.0846 0.0846  1 Os 1.88
O 0.2980 0.9211 0.2980  2 Os 1.93
O 0.3789 0.9154 0.9154  1 Os 1.88
O 0.9154 0.9154 0.3789  1 Os 1.88
O 0.0846 0.0846 0.6211  1 Os 1.88
O 0.2980 0.2980 0.9211  2 Os 1.93
O 0.7020 0.0789 0.7020  2 Os 1.93
O 0.0846 0.6211 0.0846  1 Os 1.88
La 0.0000 0.0000 0.0000  6 O 2.39
Cs 0.3855 0.3855 0.3855  9 O 3.29-3.53
Cs 0.6145 0.6145 0.6145  9 O 3.29-3.53


Total magnetization in μB per cell, matching the order above: 4.00 3.00 12.00 4.00 4.00 4.00 4.00 4.00 0.00 2.00 3.37 2.19